Run w
First-principles (PBE-GGA) data for a relaxed structure of MnTe3As, as listed in Alexandria.

Unit cell a=4.9875 b=4.9875 c=4.9875 alpha=90.00 beta=90.00 gamma=90.00
Closest atoms and distances in Å follow each position.
Fractional positions:
Mn: 0.0000 0.0000 0.0000  6 Te 2.49
Te: 0.0000 0.0000 0.5000  2 Mn 2.49
Te: 0.0000 0.5000 0.0000  2 Mn 2.49
Te: 0.5000 0.0000 0.0000  2 Mn 2.49
As: 0.5000 0.5000 0.5000  12 Te 3.53

Run x
First-principles (PBE-GGA) data for a relaxed structure of MnTe3As, as listed in Alexandria.

Unit cell a=5.3842 b=5.3842 c=5.3842 alpha=90.00 beta=90.00 gamma=90.00
Closest atoms and distances in Å follow each position.
Fractional positions:
Mn: 0.0000 0.0000 0.0000  12 Te 3.81
Te: 0.0000 0.5000 0.5000  2 As 2.69
Te: 0.5000 0.0000 0.5000  2 As 2.69
Te: 0.5000 0.5000 0.0000  2 As 2.69
As: 0.5000 0.5000 0.5000  6 Te 2.69

Ranking the structures above by energy, run w is first and the second is 81 meV per atom behind.